[1]
# VFe3H

A relaxed VFe3H crystal (PBE-GGA, the Alexandria database).

Computed properties:
* distance to the lowest polymorph of the same formula: 0.0000 eV per atom
* magnetic moment: 3.554 Bohr magnetons per cell

Lattice parameters (Å, degrees): 3.632 3.632 3.632 90.00 90.00 90.00
Atoms (fractional coordinates):
1 H 0.000 0.000 0.000
2 Fe 0.000 0.500 0.000
3 Fe 0.000 0.000 0.500
4 Fe 0.500 0.000 0.000
5 V 0.500 0.500 0.500


[2]
# VFe3H

A relaxed VFe3H crystal (PBE-GGA, the Alexandria database).

Computed properties:
* distance to the lowest polymorph of the same formula: 0.0184 eV per atom
* magnetic moment: 10.159 Bohr magnetons per cell

Lattice parameters (Å, degrees): 2.874 4.124 8.556 80.13 99.66 89.98
Atoms (fractional coordinates):
1 V 0.997 0.628 0.218
2 V 0.871 0.213 0.967
3 Fe 0.752 0.789 0.730
4 Fe 0.615 0.555 0.455
5 Fe 0.375 0.710 0.976
6 Fe 0.252 0.287 0.730
7 Fe 0.492 0.132 0.209
8 Fe 0.115 0.053 0.455
9 H 0.682 0.173 0.589
10 H 0.185 0.669 0.596


[3]
# VFe2H2

A relaxed VFe2H2 crystal (PBE-GGA, the Alexandria database).

Computed properties:
* distance to the lowest polymorph of the same formula: 0.1320 eV per atom
* magnetic moment: 2.388 Bohr magnetons per cell

Lattice parameters (Å, degrees): 5.395 5.395 2.782 90.00 90.00 90.00
Atoms (fractional coordinates):
1 H 0.292 0.792 0.000
2 H 0.792 0.708 0.000
3 H 0.708 0.208 0.000
4 H 0.208 0.292 0.000
5 Fe 0.153 0.653 0.500
6 Fe 0.653 0.847 0.500
7 Fe 0.847 0.347 0.500
8 Fe 0.347 0.153 0.500
9 V 0.000 0.000 0.000
10 V 0.500 0.500 0.000


[4]
# V2Fe5H2

A relaxed V2Fe5H2 crystal (PBE-GGA, the Alexandria database).

Computed properties:
* final energy: -0.552 Ry per atom
* magnetic moment: 6.514 Bohr magnetons per cell

Lattice parameters (Å, degrees): 3.567 4.536 5.794 96.71 90.00 113.15
Atoms (fractional coordinates):
1 V 0.567 0.134 0.724
2 V 0.433 0.866 0.276
3 Fe 0.716 0.432 0.147
4 Fe 0.284 0.568 0.853
5 Fe 0.858 0.716 0.567
6 Fe 0.142 0.284 0.433
7 Fe 0.000 0.000 0.000
8 H 0.795 0.590 0.863
9 H 0.205 0.410 0.137